Mo3NO9, optimized geometry, DFT GGA+U; E above lowest polymorph = 0 meV/atom; density of states at the Fermi level = 0.00 states/eV per cell
1.0
5.5039 -9.5331 0.0000
5.5039 9.5331 0.0000
0.0000 0.0000 3.7859
O Mo N
18 6 2
direct
0.2890 0.0130 0.0000
0.0789 0.5796 0.0000
0.0175 0.7325 0.5000
0.4204 0.4993 0.0000
0.2675 0.2850 0.5000
0.9214 0.4255 0.5000
0.4981 0.7152 0.5000
0.7178 0.2190 0.0000
0.5007 0.9211 0.0000
0.9870 0.2759 0.0000
0.5745 0.4959 0.5000
0.5041 0.0786 0.5000
0.2848 0.7829 0.5000
0.5012 0.2822 0.0000
0.2171 0.5019 0.5000
0.7150 0.9825 0.5000
0.7241 0.7110 0.0000
0.7810 0.4988 0.0000
0.8915 0.3588 0.0000
0.4673 0.1085 0.0000
0.1098 0.6462 0.5000
0.6412 0.5327 0.0000
0.3538 0.4635 0.5000
0.5365 0.8902 0.5000
0.0000 0.0000 0.8532
0.0000 0.0000 0.1468